Record 1
Compound: K2ScSe
Source: the Alexandria database
Functional: PBE-GGA
Structure: optimized geometry

Results
ΔE_f (raw) = -0.07 eV/atom

```
4
Lattice="6.895 0.000 0.000 4.032 5.594 0.000 -5.463 -2.797 3.142" Properties=species:S:1:pos:R:3 pbc="T T T"
Se 3.448 0.000 1.571
K 5.463 2.797 0.000
K 0.000 0.000 0.000
Sc 2.016 2.797 1.571
```



Record 2
Compound: KScSe
Source: the Alexandria database
Functional: PBE-GGA
Structure: optimized geometry

Results
energy above the lowest structure with this stoichiometry = 581 meV/atom
ΔE_f (raw) = -0.35 eV/atom

```
3
Lattice="4.919 0.000 0.000 2.460 4.260 0.000 2.460 1.420 4.017" Properties=species:S:1:pos:R:3 pbc="T T T"
K 0.000 0.000 0.000
Sc 4.919 2.840 2.008
Se 7.379 4.260 3.012
```



Record 3
Compound: KScSe2
Source: the Alexandria database
Functional: PBE-GGA
Structure: optimized geometry

Results
ΔE_f (raw) = -1.15 eV/atom

```
4
Lattice="-3.420 -0.156 -2.468 -1.239 -3.538 1.940 -2.907 3.119 3.831" Properties=species:S:1:pos:R:3 pbc="T T T"
K -1.454 1.559 1.915
Se 0.000 0.000 0.000
Se -3.783 -0.288 1.651
Sc -2.329 -1.847 -0.264
```



Record 4
Compound: KScSe2
Source: the Alexandria database
Functional: PBE-GGA
Structure: optimized geometry

Results
ΔE_f (raw) = -1.57 eV/atom

```
8
Lattice="5.469 0.000 0.000 0.000 10.144 0.004 0.000 -0.740 3.801" Properties=species:S:1:pos:R:3 pbc="T T T"
Sc 4.825 5.396 0.304
Sc 2.091 2.720 1.757
K 2.091 8.084 0.820
K 4.825 0.034 1.236
Se 4.825 3.141 1.837
Se 4.825 6.901 2.569
Se 2.091 4.975 0.223
Se 2.091 0.475 3.291
```



Record 5
Compound: KScSe2
Source: the Alexandria database
Functional: PBE-GGA
Structure: optimized geometry

Results
ΔE_f (raw) = -1.39 eV/atom

```
4
Lattice="-7.084 0.113 4.232 -7.970 -1.734 1.259 0.975 -3.351 1.790" Properties=species:S:1:pos:R:3 pbc="T T T"
Sc -4.462 -0.920 1.900
Se -13.793 -1.912 5.296
Se -10.479 -3.305 5.174
K -7.439 -2.941 4.042
```



Record 6
Compound: K2ScSe
Source: the Alexandria database
Functional: PBE-GGA
Structure: optimized geometry

Results
ΔE_f (raw) = -0.43 eV/atom

```
4
Lattice="4.215 0.000 0.000 0.000 9.012 0.237 0.000 7.416 5.118" Properties=species:S:1:pos:R:3 pbc="T T T"
K 0.000 9.917 3.231
K 0.000 14.726 4.802
Se 2.108 12.321 4.016
Sc 2.108 4.107 1.339
```



Record 7
Compound: KScSe2
Source: the Alexandria database
Functional: PBE-GGA
Structure: optimized geometry

Results
ΔE_f (raw) = -1.49 eV/atom

```
8
Lattice="-5.119 -1.300 4.464 -5.805 2.873 -1.973 -0.712 -3.576 -5.705" Properties=species:S:1:pos:R:3 pbc="T T T"
Sc -1.849 -2.136 -1.988
Sc -9.788 0.133 -1.227
Se -9.378 -1.148 -3.430
Se -5.307 -0.335 -3.881
Se -2.258 -0.855 0.216
Se -6.330 -1.668 0.667
K -4.977 1.025 -0.807
K -6.659 -3.029 -2.407
```



Record 8
Compound: KScSe4
Source: the Alexandria database
Functional: PBE-GGA
Structure: optimized geometry

Results
energy above the lowest structure with this stoichiometry = 1012 meV/atom
ΔE_f (raw) = -0.04 eV/atom

```
6
Lattice="-2.924 -0.012 5.157 -5.736 1.488 0.159 -4.107 -4.139 1.068" Properties=species:S:1:pos:R:3 pbc="T T T"
Se -4.778 -0.997 2.389
Se -6.248 -1.003 4.983
Se -6.844 -3.079 2.926
Se -7.663 -0.248 2.469
Sc 0.000 0.000 0.000
K -9.575 -1.997 4.788
```



Number 1: final energy -3.072 eV/atom. Number 2: final energy -3.992 eV/atom. Number 3: final energy -4.753 eV/atom. Number 4: final energy -5.167 eV/atom. Number 5: final energy -4.994 eV/atom. Number 6: final energy -3.435 eV/atom. Number 7: final energy -5.087 eV/atom. Number 8: final energy -3.602 eV/atom.